No. 1
## Tb4GaHgC (GGA-PBE)

Data for a geometry-optimized Tb4GaHgC structure.

```
Tb4GaHgC
1.0
3.483 -7.312 0.000
3.483 7.312 0.000
0.000 0.000 6.969
Tb Ga Hg C
8 2 2 2
Direct
0.000 0.500 0.000 Tb
0.000 0.500 0.500 Tb
0.078 0.922 0.750 Tb
0.417 0.583 0.750 Tb
0.500 0.000 0.000 Tb
0.500 0.000 0.500 Tb
0.583 0.417 0.250 Tb
0.922 0.078 0.250 Tb
0.126 0.874 0.250 Ga
0.874 0.126 0.750 Ga
0.381 0.619 0.250 Hg
0.619 0.381 0.750 Hg
0.249 0.751 0.750 C
0.751 0.249 0.250 C
```

The energy of formation from the pure elements is -0.374 eV/atom. The calculation puts the total energy at -4.81 eV per atom.



No. 2
## Tm4GaHgC (GGA-PBE)

Data for a geometry-optimized Tm4GaHgC structure.

```
Tm4GaHgC
1.0
3.389 -7.228 0.000
3.389 7.228 0.000
0.000 0.000 6.779
Tm Ga Hg C
8 2 2 2
Direct
0.000 0.500 0.000 Tm
0.000 0.500 0.500 Tm
0.079 0.921 0.750 Tm
0.417 0.583 0.750 Tm
0.500 0.000 0.000 Tm
0.500 0.000 0.500 Tm
0.583 0.417 0.250 Tm
0.921 0.079 0.250 Tm
0.125 0.875 0.250 Ga
0.875 0.125 0.750 Ga
0.382 0.618 0.250 Hg
0.618 0.382 0.750 Hg
0.249 0.751 0.750 C
0.751 0.249 0.250 C
```

The energy of formation from the pure elements is -0.410 eV/atom. The calculation puts the total energy at -4.76 eV per atom.



No. 3
## Zr2GaHgC (GGA-PBE)

Data for a geometry-optimized Zr2GaHgC structure.

```
Zr2GaHgC
1.0
5.327 0.000 0.000
0.000 5.327 0.000
0.000 0.000 4.630
Zr Ga Hg C
2 1 1 1
Direct
0.000 0.500 0.000 Zr
0.500 0.000 0.000 Zr
0.000 0.000 0.500 Ga
0.000 0.000 0.000 Hg
0.500 0.500 0.500 C
```

The energy of formation from the pure elements is 2.054 eV/atom. The calculation puts the total energy at -3.88 eV per atom.



Here are the calculated calculated volume numbers, same order: 25.4; 23.7; 26.3 (Å³/atom).